K3Mn2FeO6 (GGA+U, relaxed); space-group type = C2/m, No. 12; total energy = -5.91 eV/atom
1.0
2.690 -4.849 0.000
2.690 4.849 0.000
-1.706 0.000 6.011
K Mn Fe O
3 2 1 6
direct
0.000 0.000 0.000 K
0.339 0.661 0.000 K
0.661 0.339 0.000 K
0.169 0.831 0.500 Mn
0.831 0.169 0.500 Mn
0.500 0.500 0.500 Fe
0.078 0.432 0.325 O
0.211 0.211 0.669 O
0.432 0.078 0.325 O
0.568 0.922 0.675 O
0.789 0.789 0.331 O
0.922 0.568 0.675 O